(1)
Compound: Cr2NiMo
Source: Alexandria via LeMat-Bulk
Functional: PBE
Structure: optimized geometry

As for the symmetry: No. 44. The formation energy comes out at 58.3 kJ/mol of formula units. The density of states at the Fermi level is 1.22 states/eV/atom.

a b c (Å): 4.704 4.704 4.704
angles (deg): 141.05 128.55 66.37
Fractional coordinates of all 4 atoms:
Cr: 0.000 0.000 0.000
Cr: 0.774 0.274 0.500
Ni: 0.514 0.514 0.000
Mo: 0.249 0.749 0.500

(2)
Compound: Y2CuPdN
Source: Alexandria via LeMat-Bulk
Functional: PBE
Structure: optimized geometry

As for the symmetry: No. 123. The density of states at the Fermi level is 0.52 states/eV/atom. Its formation energy without anion corrections is -394 kJ/mol of formula units.

a b c (Å): 4.822 4.822 3.832
angles (deg): 90.00 90.00 90.00
Fractional coordinates of all 5 atoms:
Y: 0.000 0.500 0.000
Y: 0.500 0.000 0.000
Cu: 0.000 0.000 0.500
Pd: 0.500 0.500 0.500
N: 0.000 0.000 0.000

(3)
Compound: LaMg2Te
Source: Alexandria via LeMat-Bulk
Functional: PBE
Structure: optimized geometry

As for the symmetry: No. 216. The density of states at the Fermi level is 0.70 states/eV/atom. Its formation energy without anion corrections is -147 kJ/mol of formula units.

a b c (Å): 5.436 5.436 5.436
angles (deg): 60.00 60.00 60.00
Fractional coordinates of all 4 atoms:
La: 0.000 0.000 0.000
Mg: 0.500 0.500 0.500
Mg: 0.750 0.750 0.750
Te: 0.250 0.250 0.250

(4)
Compound: LaTbNdTm2
Source: Alexandria via LeMat-Bulk
Functional: PBE
Structure: optimized geometry

As for the symmetry: No. 63. The formation energy comes out at 168.9 kJ/mol of formula units. The density of states at the Fermi level is 1.54 states/eV/atom.

a b c (Å): 7.148 7.148 7.211
angles (deg): 90.00 90.00 107.66
Fractional coordinates of all 10 atoms:
La: 0.234 0.766 0.750
La: 0.766 0.234 0.250
Tb: 0.217 0.783 0.250
Tb: 0.783 0.217 0.750
Nd: 0.499 0.501 0.250
Nd: 0.501 0.499 0.750
Tm: 0.187 0.187 0.000
Tm: 0.187 0.187 0.500
Tm: 0.813 0.813 0.000
Tm: 0.813 0.813 0.500

(5)
Compound: CaMgAl2Ag2
Source: Alexandria via LeMat-Bulk
Functional: PBE
Structure: optimized geometry

As for the symmetry: No. 164. The formation energy comes out at -133.3 kJ/mol of formula units. The density of states at the Fermi level is 0.42 states/eV/atom.

a b c (Å): 4.553 4.553 7.051
angles (deg): 90.00 90.00 120.00
Fractional coordinates of all 6 atoms:
Ca: 0.000 0.000 0.000
Mg: 0.000 0.000 0.500
Al: 0.333 0.667 0.712
Al: 0.667 0.333 0.288
Ag: 0.333 0.667 0.299
Ag: 0.667 0.333 0.701

(6)
Compound: Pu2InAg3
Source: Alexandria via LeMat-Bulk
Functional: PBE
Structure: optimized geometry

As for the symmetry: No. 44. The value obtained for the energy above the most stable polymorph in this dataset is 0.108 eV/atom. The formation energy comes out at 23.4 kJ/mol of formula units. The density of states at the Fermi level is 2.78 states/eV/atom.

a b c (Å): 9.722 9.722 9.722
angles (deg): 161.96 149.83 35.37
Fractional coordinates of all 6 atoms:
Pu: 0.000 0.000 0.000
Pu: 0.747 0.247 0.500
In: 0.588 0.588 0.000
Ag: 0.160 0.660 0.500
Ag: 0.311 0.811 0.500
Ag: 0.435 0.435 0.000

(7)
Compound: BeIrF
Source: Alexandria via LeMat-Bulk
Functional: PBE
Structure: optimized geometry

As for the symmetry: No. 1. The value obtained for the energy above the most stable polymorph in this dataset is 0.000 eV/atom. The density of states at the Fermi level is 0.47 states/eV/atom. Its formation energy without anion corrections is -412 kJ/mol of formula units.

a b c (Å): 2.579 4.601 7.928
angles (deg): 106.86 99.33 90.00
Fractional coordinates of all 6 atoms:
Be: 0.000 0.000 0.000
Be: 0.254 0.255 0.512
Ir: 0.126 0.826 0.256
Ir: 0.626 0.340 0.256
F: 0.439 0.931 0.877
F: 0.815 0.309 0.634

(8)
Compound: Tl2ReIr
Source: Alexandria via LeMat-Bulk
Functional: PBE
Structure: optimized geometry

As for the symmetry: No. 44. The value obtained for the energy above the most stable polymorph in this dataset is 0.321 eV/atom. The formation energy comes out at 298.4 kJ/mol of formula units. The density of states at the Fermi level is 0.72 states/eV/atom.

a b c (Å): 6.487 6.487 6.487
angles (deg): 153.87 136.60 51.36
Fractional coordinates of all 4 atoms:
Tl: 0.000 0.000 0.000
Tl: 0.708 0.208 0.500
Re: 0.471 0.471 0.000
Ir: 0.291 0.791 0.500

(9)
Compound: Hf2Al3W
Source: Alexandria via LeMat-Bulk
Functional: PBE
Structure: optimized geometry

As for the symmetry: No. 166. The formation energy comes out at -208.3 kJ/mol of formula units. The density of states at the Fermi level is 0.68 states/eV/atom.

a b c (Å): 5.334 5.334 5.334
angles (deg): 59.34 59.34 59.34
Fractional coordinates of all 6 atoms:
Hf: 0.129 0.129 0.129
Hf: 0.871 0.871 0.871
Al: 0.000 0.500 0.500
Al: 0.500 0.000 0.500
Al: 0.500 0.500 0.000
W: 0.500 0.500 0.500

(10)
Compound: KMnCl
Source: Alexandria via LeMat-Bulk
Functional: PBE
Structure: optimized geometry

As for the symmetry: No. 216. The value obtained for the energy above the most stable polymorph in this dataset is 0.216 eV/atom. The density of states at the Fermi level is 0.49 states/eV/atom. Its formation energy without anion corrections is 14 kJ/mol of formula units.

a b c (Å): 5.260 5.260 5.260
angles (deg): 60.00 60.00 60.00
Fractional coordinates of all 3 atoms:
K: 0.000 0.000 0.000
Mn: 0.500 0.500 0.500
Cl: 0.250 0.250 0.250

(11)
Compound: ScTl2CoGe
Source: Alexandria via LeMat-Bulk
Functional: PBE
Structure: optimized geometry

As for the symmetry: No. 123. The value obtained for the energy above the most stable polymorph in this dataset is 0.333 eV/atom. The formation energy comes out at 274.6 kJ/mol of formula units. The density of states at the Fermi level is 0.72 states/eV/atom.

a b c (Å): 5.355 5.355 4.351
angles (deg): 90.00 90.00 90.00
Fractional coordinates of all 5 atoms:
Sc: 0.000 0.000 0.000
Tl: 0.000 0.500 0.500
Tl: 0.500 0.000 0.500
Co: 0.500 0.500 0.000
Ge: 0.500 0.500 0.500

(12)
Compound: Cs2MnI6Cl
Source: Alexandria via LeMat-Bulk
Functional: PBE
Structure: optimized geometry

As for the symmetry: No. 139. The density of states at the Fermi level is 0.98 states/eV/atom. Its formation energy without anion corrections is -710 kJ/mol of formula units.

a b c (Å): 8.550 8.550 8.550
angles (deg): 122.11 122.11 86.38
Fractional coordinates of all 10 atoms:
Cs: 0.250 0.750 0.500
Cs: 0.750 0.250 0.500
Mn: 0.000 0.000 0.000
I: 0.215 0.215 0.000
I: 0.234 0.234 0.469
I: 0.234 0.766 0.000
I: 0.766 0.234 0.000
I: 0.766 0.766 0.531
I: 0.785 0.785 0.000
Cl: 0.500 0.500 0.000

What did the sixth record say?
Compound: Pu2InAg3
Source: Alexandria via LeMat-Bulk
Functional: PBE
Structure: optimized geometry

As for the symmetry: No. 44. The value obtained for the energy above the most stable polymorph in this dataset is 0.108 eV/atom. The formation energy comes out at 23.4 kJ/mol of formula units. The density of states at the Fermi level is 2.78 states/eV/atom.

a b c (Å): 9.722 9.722 9.722
angles (deg): 161.96 149.83 35.37
Fractional coordinates of all 6 atoms:
Pu: 0.000 0.000 0.000
Pu: 0.747 0.247 0.500
In: 0.588 0.588 0.000
Ag: 0.160 0.660 0.500
Ag: 0.311 0.811 0.500
Ag: 0.435 0.435 0.000